Material: Ac7Al2Ga2
Method: DFT, PBE-GGA
State: optimized geometry

Cell: 8.449 12.012 8.017 Å, 90.00 90.00 90.00°
Space group Cmmm (No. 65)
Asymmetric unit:
Ac (0.000, 0.000, 0.000) [2 per cell]
Ac (0.000, 0.500, 0.261) [4 per cell]
Ac (0.250, 0.250, 0.282) [8 per cell]
Al (0.157, 0.000, 0.500) [4 per cell]
Ga (0.000, 0.294, 0.000) [4 per cell]

Summary:
As for the total energy: -3.92 eV/atom. Its energy of formation from the pure elements is -0.076 eV/atom. Its density of states at the Fermi level is 27.1 states/eV/cell. For the total moment, the calculation gives 0.0 μB per formula unit.